1.
Compound: NdMgH8Pt2
Source: Alexandria via LeMat-Bulk
Functional: PBE
Structure: relaxed

abc: 4.8812 4.8812 17.6409
angles: 90.00 90.00 120.00
Space group R-3 (No. 148, hexagonal axes)
One atom of each set of equivalent atoms:
Nd 0.0000 0.0000 0.0000 (multiplicity 3)
Mg 0.0000 0.0000 0.5000 (multiplicity 3)
H 0.0000 0.0000 0.3277 (multiplicity 6)
H 0.0044 0.3170 0.1011 (multiplicity 18)
Pt 0.0000 0.0000 0.2369 (multiplicity 6)

Values from the calculation:
magnetic moment	0.000	μB/atom
DOS(E_F)	7.1	states/eV/cell
electronic total energy	-3.955	eV/atom

2.
Compound: NdMgH8Rh2
Source: Alexandria via LeMat-Bulk
Functional: PBE
Structure: relaxed

abc: 4.8183 4.8183 16.6339
angles: 90.00 90.00 120.00
Space group R-3 (No. 148, hexagonal axes)
One atom of each set of equivalent atoms:
Nd 0.0000 0.0000 0.0000 (multiplicity 3)
Mg 0.0000 0.0000 0.5000 (multiplicity 3)
H 0.0000 0.0000 0.3055 (multiplicity 6)
H 0.0190 0.7376 0.8831 (multiplicity 18)
Rh 0.0000 0.0000 0.2015 (multiplicity 6)

Values from the calculation:
magnetic moment	0.000	μB/atom
DOS(E_F)	8.6	states/eV/cell
electronic total energy	-4.257	eV/atom

3.
Compound: Nd2MgH12Rh3
Source: Alexandria via LeMat-Bulk
Functional: PBE
Structure: relaxed

abc: 6.4085 6.4085 13.9944
angles: 90.00 90.00 120.00
Space group R-3m (No. 166, hexagonal axes)
One atom of each set of equivalent atoms:
Nd 0.0000 0.0000 0.1179 (multiplicity 6)
Mg 0.0000 0.0000 0.5000 (multiplicity 3)
H 0.0046 0.5023 0.8806 (multiplicity 18)
H 0.0352 0.5176 0.3331 (multiplicity 18)
Rh 0.0000 0.5000 0.0000 (multiplicity 9)

Values from the calculation:
magnetic moment	0.049	μB/atom
DOS(E_F)	16.8	states/eV/cell
electronic total energy	-4.401	eV/atom

4.
Compound: Nd2MgH6Ru
Source: Alexandria via LeMat-Bulk
Functional: PBE
Structure: relaxed

abc: 4.7520 4.7520 6.8433
angles: 90.00 90.00 120.00
Space group P-3m1 (No. 164)
One atom of each set of equivalent atoms:
Nd 0.3333 0.6667 0.2149 (multiplicity 2)
Mg 0.0000 0.0000 0.5000 (multiplicity 1)
H 0.1725 0.3449 0.8574 (multiplicity 6)
Ru 0.0000 0.0000 0.0000 (multiplicity 1)

Values from the calculation:
magnetic moment	0.000	μB/atom
DOS(E_F)	1.8	states/eV/cell
electronic total energy	-4.426	eV/atom

5.
Compound: NdMgTlH
Source: Alexandria via LeMat-Bulk
Functional: PBE
Structure: relaxed

abc: 4.4300 4.4300 8.3906
angles: 90.00 90.00 90.00
Space group P4/nmm (No. 129, origin choice 2)
One atom of each set of equivalent atoms:
Nd 0.2500 0.2500 0.1306 (multiplicity 2)
Mg 0.2500 0.7500 0.5000 (multiplicity 2)
Tl 0.2500 0.2500 0.7310 (multiplicity 2)
H 0.2500 0.7500 0.0000 (multiplicity 2)

Values from the calculation:
magnetic moment	0.000	μB/atom
DOS(E_F)	2.5	states/eV/cell
electronic total energy	-3.415	eV/atom

6.
Compound: MgNi7H6
Source: Alexandria via LeMat-Bulk
Functional: PBE
Structure: relaxed

abc: 4.4830 4.4830 19.3064
angles: 90.00 90.00 120.00
Space group R3 (No. 146, hexagonal axes)
One atom of each set of equivalent atoms:
Mg 0.0000 0.0000 0.0000 (multiplicity 3)
Ni 0.0000 0.0000 0.3333 (multiplicity 3)
Ni 0.0001 0.3301 0.8869 (multiplicity 9)
Ni 0.9998 0.6687 0.1132 (multiplicity 9)
H 0.0123 0.6507 0.9322 (multiplicity 9)
H 0.0133 0.3611 0.0680 (multiplicity 9)

Values from the calculation:
magnetic moment	0.000	μB/atom
DOS(E_F)	23.5	states/eV/cell
electronic total energy	-4.502	eV/atom

7.
Compound: Mg2Ni2H5
Source: Alexandria via LeMat-Bulk
Functional: PBE
Structure: relaxed

abc: 3.2557 3.2557 6.8267
angles: 90.00 90.00 90.00
Space group P4/mmm (No. 123)
One atom of each set of equivalent atoms:
Mg 0.0000 0.0000 0.0000 (multiplicity 1)
Mg 0.0000 0.0000 0.5000 (multiplicity 1)
Ni 0.5000 0.5000 0.2414 (multiplicity 2)
H 0.0000 0.5000 0.2842 (multiplicity 4)
H 0.5000 0.5000 0.0000 (multiplicity 1)

Values from the calculation:
magnetic moment	0.000	μB/atom
DOS(E_F)	2.2	states/eV/cell
electronic total energy	-3.712	eV/atom

8.
Compound: Mg2NiH
Source: Alexandria via LeMat-Bulk
Functional: PBE
Structure: relaxed

abc: 6.0863 6.0863 6.0863
angles: 90.00 90.00 90.00
Space group Fm-3m (No. 225)
One atom of each set of equivalent atoms:
Mg 0.2500 0.2500 0.2500 (multiplicity 8)
Ni 0.0000 0.0000 0.0000 (multiplicity 4)
H 0.0000 0.0000 0.5000 (multiplicity 4)

Values from the calculation:
magnetic moment	0.000	μB/atom
DOS(E_F)	6.0	states/eV/cell
E above lowest polymorph	174	meV per atom

9.
Compound: Mg2NiH4
Source: Alexandria via LeMat-Bulk
Functional: PBE
Structure: relaxed

abc: 6.1699 6.3792 6.5742
angles: 90.00 90.00 90.00
Space group Cmmm (No. 65)
One atom of each set of equivalent atoms:
Mg 0.2500 0.2500 0.2455 (multiplicity 8)
Ni 0.0000 0.0000 0.0000 (multiplicity 2)
Ni 0.0000 0.5000 0.5000 (multiplicity 2)
H 0.0000 0.0000 0.2350 (multiplicity 4)
H 0.0000 0.2594 0.5000 (multiplicity 4)
H 0.2482 0.5000 0.0000 (multiplicity 4)
H 0.2488 0.0000 0.5000 (multiplicity 4)

Values from the calculation:
magnetic moment	0.000	μB/atom
DOS(E_F)	5.8	states/eV/cell
E above lowest polymorph	101	meV per atom

10.
Compound: Mg2NiH6
Source: Alexandria via LeMat-Bulk
Functional: PBE
Structure: relaxed

abc: 4.3427 4.3427 8.4298
angles: 90.00 90.00 90.00
Space group P4_2/mnm (No. 136)
One atom of each set of equivalent atoms:
Mg 0.0000 0.0000 0.1715 (multiplicity 4)
Ni 0.0000 0.0000 0.5000 (multiplicity 2)
H 0.1881 0.1881 0.3586 (multiplicity 8)
H 0.2309 0.2309 0.0000 (multiplicity 4)

Values from the calculation:
magnetic moment	0.135	μB/atom
DOS(E_F)	4.4	states/eV/cell
electronic total energy	-3.260	eV/atom

11.
Compound: MgNi2H
Source: Alexandria via LeMat-Bulk
Functional: PBE
Structure: relaxed

abc: 5.0704 5.0704 7.1417
angles: 90.00 90.00 90.00
Space group I4_1/amd (No. 141, origin choice 2)
One atom of each set of equivalent atoms:
Mg 0.0000 0.2500 0.3750 (multiplicity 4)
Ni 0.0000 0.0000 0.0000 (multiplicity 8)
H 0.0000 0.2500 0.8750 (multiplicity 4)

Values from the calculation:
magnetic moment	0.000	μB/atom
DOS(E_F)	6.3	states/eV/cell
E above lowest polymorph	0	meV per atom

12.
Compound: Mg3NiH
Source: Alexandria via LeMat-Bulk
Functional: PBE
Structure: relaxed

abc: 4.1515 4.1515 4.1515
angles: 90.00 90.00 90.00
Space group Pm-3m (No. 221)
One atom of each set of equivalent atoms:
Mg 0.0000 0.0000 0.5000 (multiplicity 3)
Ni 0.5000 0.5000 0.5000 (multiplicity 1)
H 0.0000 0.0000 0.0000 (multiplicity 1)

Values from the calculation:
magnetic moment	0.000	μB/atom
DOS(E_F)	1.1	states/eV/cell
E above lowest polymorph	0	meV per atom

The highest magnetic moment belongs to which entry?
Mg2NiH6

Which formula does entry 11 have?
MgNi2H